The following is a DFT calculation (GGA-PBE) of an optimized crystal structure of Zr4As3P.

Formation energy from the elements ... -1.15 eV per atom
Electronic total energy ... -7.85 eV per atom
Crystal system ... trigonal
Spin magnetization ... 0.00 μB per atom

CIF file:
```
data_Zr4As3P
_chemical_formula_sum 'Zr12 As9 P3'
_cell_length_a 3.8284
_cell_length_b 3.8284
_cell_length_c 38.0128
_cell_angle_alpha 90.00
_cell_angle_beta 90.00
_cell_angle_gamma 120.00
_symmetry_space_group_name_H-M 'R -3 m'
_symmetry_Int_Tables_number 166
_symmetry_space_group_name_Hall '-R 3 2"'
loop_
_atom_site_label
_atom_site_type_symbol
_atom_site_fract_x
_atom_site_fract_y
_atom_site_fract_z
Zr1 Zr 0.0000 0.0000 0.1261
Zr2 Zr 0.0000 0.0000 0.3703
As1 As 0.0000 0.0000 0.2513
As2 As 0.0000 0.0000 0.5000
P1 P 0.0000 0.0000 0.0000
```